1.
Here is a relaxed structure of RbHfSc2 from Alexandria. Energies are from PBE.

POSCAR file:
```
RbHfSc2
1.0
5.764 0.000 0.000
0.000 5.764 0.000
2.882 2.882 10.350
Rb Hf Sc
2 2 4
Cartesian
2.882 5.764 5.175
2.882 2.882 0.000
0.000 0.000 0.000
5.764 2.882 5.175
5.766 1.441 2.587
5.762 4.323 2.587
4.323 2.880 7.762
7.205 2.884 7.762
```

Output
N(E_F) ... 16.488 states/eV per cell
Calculated total energy ... -4.466 eV/atom
Energy of formation from the pure elements ... 1430 meV per atom

2.
Here is a relaxed structure of Rb3HfSc from Alexandria. Energies are from PBE.

POSCAR file:
```
Rb3HfSc
1.0
6.943 0.000 0.000
0.000 6.943 0.000
0.000 0.000 6.943
Sc Rb Hf
1 3 1
Cartesian
3.472 3.472 3.472
0.000 3.472 0.000
3.472 0.000 0.000
0.000 0.000 3.472
0.000 0.000 0.000
```

Output
N(E_F) ... 11.473 states/eV per cell
Calculated total energy ... -2.180 eV/atom
Energy of formation from the pure elements ... 1658 meV per atom

3.
Here is a relaxed structure of Rb2HfSc from Alexandria. Energies are from PBE.

POSCAR file:
```
Rb2HfSc
1.0
0.000 4.249 4.249
4.249 0.000 4.249
4.249 4.249 0.000
Rb Hf Sc
2 1 1
Cartesian
2.125 2.125 2.125
6.374 6.374 6.374
4.249 4.249 4.249
0.000 0.000 0.000
```

Output
N(E_F) ... 4.809 states/eV per cell
Calculated total energy ... -3.018 eV/atom
Energy of formation from the pure elements ... 1537 meV per atom

4.
Here is a relaxed structure of Rb3HfSc2Se6 from Alexandria. Energies are from PBE.

POSCAR file:
```
Rb3HfSc2Se6
1.0
6.925 -0.001 0.000
-3.462 5.998 0.000
-1.155 -1.999 7.969
Se Rb Sc Hf
6 3 2 1
Cartesian
0.034 3.998 6.465
2.326 4.028 1.509
2.274 0.000 1.505
-1.137 1.970 1.505
-0.018 -0.031 6.460
3.446 2.028 6.465
4.602 0.008 3.985
1.154 1.999 3.985
-2.293 3.990 3.985
3.462 1.999 0.000
0.002 3.998 0.000
0.000 0.000 0.000
```

Output
Uncorrected formation energy ... -1.47 eV/atom
N(E_F) ... 4.418 states/eV per cell
Calculated total energy ... -5.343 eV/atom